ScRh2Pb | PBE-GGA | relaxed

```
ScRh2Pb
1.0
-0.013 -0.310 -4.375
-2.226 -2.428 0.179
-4.903 2.233 -0.143
Rh Pb Sc
2 1 1
Direct
0.000 0.207 0.963
0.500 0.034 0.305
0.500 0.773 0.830
0.000 0.485 0.401
```

Properties
E_form: -452 meV/atom